No. 1
Density functional theory data (PBE) for a geometry-optimized Tb10Pr4Sc structure.

Values from the calculation:
**Energy of formation**: 248 meV/atom
**Calculated total energy**: -4.54 eV/atom
**ρ**: 7.21 Mg/m³
**Symmetry**: I4/mmm

a = 7.771 Å, b = 8.959 Å, c = 8.959 Å
α = 79.16°, β = 64.30°, γ = 64.30°
Fractional coordinates of all 15 atoms:
Tb 0.250 0.500 0.500
Tb 0.713 0.207 0.793
Tb 0.080 0.207 0.207
Tb 0.495 0.793 0.793
Tb 0.712 0.793 0.207
Tb 0.287 0.793 0.207
Tb 0.750 0.500 0.500
Tb 0.288 0.207 0.793
Tb 0.505 0.207 0.207
Tb 0.920 0.793 0.793
Pr 0.229 0.000 0.542
Pr 0.771 0.458 0.000
Pr 0.229 0.542 0.000
Pr 0.771 0.000 0.458
Sc 0.000 0.000 0.000

No. 2
Density functional theory data (PBE) for a geometry-optimized Tb8PrSc2 structure.

Values from the calculation:
**Energy of formation**: 169 meV/atom
**Calculated total energy**: -4.78 eV/atom
**ρ**: 7.21 Mg/m³
**Symmetry**: C2/m

a = 5.807 Å, b = 8.885 Å, c = 9.129 Å
α = 60.88°, β = 74.72°, γ = 57.20°
Fractional coordinates of all 11 atoms:
Tb 0.825 0.098 0.242
Tb 0.825 0.340 0.758
Tb 0.292 0.428 0.000
Tb 0.500 0.791 0.417
Tb 0.500 0.209 0.583
Tb 0.708 0.572 0.000
Tb 0.175 0.660 0.242
Tb 0.175 0.902 0.758
Pr 0.500 0.000 0.000
Sc 0.000 0.309 0.381
Sc 0.000 0.691 0.619

No. 3
Density functional theory data (PBE) for a geometry-optimized Tb3PrSc3 structure.

Values from the calculation:
**Energy of formation**: 262 meV/atom
**Calculated total energy**: -5.12 eV/atom
**ρ**: 5.79 Mg/m³
**Symmetry**: R3m

a = 6.494 Å, b = 6.562 Å, c = 6.562 Å
α = 109.68°, β = 109.26°, γ = 109.26°
Fractional coordinates of all 7 atoms:
Tb 0.552 0.547 0.547
Tb 0.005 0.000 0.453
Tb 0.005 0.453 0.000
Pr 0.408 0.000 0.000
Sc 0.995 0.490 0.490
Sc 0.505 0.000 0.510
Sc 0.505 0.510 0.000

No. 4
Density functional theory data (PBE) for a geometry-optimized Tb2PrSc4 structure.

Values from the calculation:
**Energy of formation**: 88 meV/atom
**Calculated total energy**: -5.54 eV/atom
**ρ**: 5.32 Mg/m³
**Symmetry**: P1

a = 9.679 Å, b = 8.394 Å, c = 6.272 Å
α = 98.80°, β = 121.03°, γ = 104.13°
Fractional coordinates of all 14 atoms:
Tb 0.671 0.631 0.549
Tb 0.083 0.181 0.374
Tb 0.880 0.419 0.966
Tb 0.431 0.833 0.104
Pr 0.214 0.804 0.388
Pr 0.056 0.967 0.845
Sc 0.663 0.996 0.833
Sc 0.392 0.544 0.670
Sc 0.468 0.218 0.450
Sc 0.793 0.140 0.478
Sc 0.002 0.536 0.576
Sc 0.787 0.752 0.176
Sc 0.247 0.414 0.041
Sc 0.565 0.315 0.047

No. 5
Density functional theory data (PBE) for a geometry-optimized Tb4PrSc structure.

Values from the calculation:
**Energy of formation**: 201 meV/atom
**Calculated total energy**: -4.74 eV/atom
**ρ**: 7.01 Mg/m³
**Symmetry**: C2/m

a = 3.443 Å, b = 5.947 Å, c = 10.075 Å
α = 86.33°, β = 80.16°, γ = 73.17°
Fractional coordinates of all 6 atoms:
Tb 0.655 0.540 0.149
Tb 0.345 0.460 0.851
Tb 0.153 0.030 0.664
Tb 0.847 0.970 0.336
Pr 0.500 0.500 0.500
Sc 0.000 0.000 0.000

No. 6
Density functional theory data (PBE) for a geometry-optimized TbPr3Sc2 structure.

Values from the calculation:
**Energy of formation**: 258 meV/atom
**Calculated total energy**: -5.01 eV/atom
**ρ**: 5.59 Mg/m³
**Symmetry**: Cmcm

a = 5.540 Å, b = 8.810 Å, c = 8.810 Å
α = 111.83°, β = 90.00°, γ = 90.00°
Fractional coordinates of all 12 atoms:
Tb 0.993 0.722 0.722
Tb 0.493 0.278 0.278
Pr 0.993 0.891 0.377
Pr 0.493 0.623 0.109
Pr 0.993 0.377 0.891
Pr 0.493 0.109 0.623
Pr 0.493 0.906 0.906
Pr 0.993 0.094 0.094
Sc 0.493 0.694 0.488
Sc 0.993 0.512 0.306
Sc 0.493 0.488 0.694
Sc 0.993 0.306 0.512

No. 7
Density functional theory data (PBE) for a geometry-optimized Tb2PrSc3 structure.

Values from the calculation:
**Energy of formation**: 82 meV/atom
**Calculated total energy**: -5.42 eV/atom
**ρ**: 5.72 Mg/m³
**Symmetry**: P2_1/m

a = 3.467 Å, b = 5.992 Å, c = 16.718 Å
α = 96.85°, β = 90.00°, γ = 90.00°
Fractional coordinates of all 12 atoms:
Tb 0.250 0.750 0.500
Tb 0.750 0.250 0.500
Tb 0.750 0.026 0.832
Tb 0.250 0.974 0.168
Pr 0.250 0.528 0.832
Pr 0.750 0.472 0.168
Sc 0.750 0.639 0.664
Sc 0.250 0.361 0.336
Sc 0.750 0.863 0.335
Sc 0.250 0.137 0.665
Sc 0.250 0.247 0.999
Sc 0.750 0.753 0.001

No. 8
Density functional theory data (PBE) for a geometry-optimized TbPr2Sc2 structure.

Values from the calculation:
**Energy of formation**: 138 meV/atom
**Calculated total energy**: -5.23 eV/atom
**ρ**: 5.78 Mg/m³
**Symmetry**: C2/c

a = 9.159 Å, b = 9.159 Å, c = 6.063 Å
α = 101.26°, β = 101.26°, γ = 135.60°
Fractional coordinates of all 10 atoms:
Tb 0.192 0.808 0.250
Tb 0.808 0.192 0.750
Pr 0.840 0.714 0.448
Pr 0.286 0.160 0.052
Pr 0.714 0.840 0.948
Pr 0.160 0.286 0.552
Sc 0.381 0.619 0.250
Sc 0.738 0.262 0.250
Sc 0.262 0.738 0.750
Sc 0.619 0.381 0.750

No. 9
Density functional theory data (PBE) for a geometry-optimized Tb12PrSc3 structure.

Values from the calculation:
**Energy of formation**: 37 meV/atom
**Calculated total energy**: -4.92 eV/atom
**ρ**: 7.38 Mg/m³
**Symmetry**: P4/mmm

a = 4.977 Å, b = 4.977 Å, c = 19.832 Å
α = 90.00°, β = 90.00°, γ = 90.00°
Fractional coordinates of all 16 atoms:
Tb 0.500 0.500 0.000
Tb 0.500 0.500 0.255
Tb 0.500 0.500 0.500
Tb 0.500 0.500 0.745
Tb 0.500 0.000 0.131
Tb 0.500 0.000 0.377
Tb 0.500 0.000 0.623
Tb 0.500 0.000 0.869
Tb 0.000 0.500 0.131
Tb 0.000 0.500 0.377
Tb 0.000 0.500 0.623
Tb 0.000 0.500 0.869
Pr 0.000 0.000 0.000
Sc 0.000 0.000 0.254
Sc 0.000 0.000 0.500
Sc 0.000 0.000 0.746

No. 10
Density functional theory data (PBE) for a geometry-optimized Tb4Pr2Sc3 structure.

Values from the calculation:
**Energy of formation**: 101 meV/atom
**Calculated total energy**: -5.13 eV/atom
**ρ**: 6.32 Mg/m³
**Symmetry**: C2/m

a = 3.460 Å, b = 8.442 Å, c = 9.742 Å
α = 98.97°, β = 100.23°, γ = 90.00°
Fractional coordinates of all 9 atoms:
Tb 0.546 0.685 0.091
Tb 0.282 0.357 0.564
Tb 0.454 0.315 0.909
Tb 0.718 0.643 0.436
Pr 0.665 0.048 0.329
Pr 0.335 0.952 0.671
Sc 0.105 0.362 0.210
Sc 0.895 0.638 0.790
Sc 0.000 0.000 0.000

No. 11
Density functional theory data (PBE) for a geometry-optimized Tb4Pr3Sc2 structure.

Values from the calculation:
**Energy of formation**: 124 meV/atom
**Calculated total energy**: -4.93 eV/atom
**ρ**: 6.62 Mg/m³
**Symmetry**: C2/c

a = 6.747 Å, b = 11.437 Å, c = 11.437 Å
α = 52.22°, β = 59.61°, γ = 59.61°
Fractional coordinates of all 18 atoms:
Tb 0.486 0.826 0.203
Tb 0.014 0.797 0.174
Tb 0.514 0.174 0.797
Tb 0.986 0.203 0.826
Tb 0.995 0.185 0.437
Tb 0.505 0.563 0.815
Tb 0.005 0.815 0.563
Tb 0.495 0.437 0.185
Pr 0.934 0.101 0.201
Pr 0.566 0.799 0.899
Pr 0.066 0.899 0.799
Pr 0.434 0.201 0.101
Pr 0.250 0.506 0.494
Pr 0.750 0.494 0.506
Sc 0.471 0.120 0.542
Sc 0.029 0.458 0.880
Sc 0.529 0.880 0.458
Sc 0.971 0.542 0.120

No. 12
Density functional theory data (PBE) for a geometry-optimized Tb4PrSc structure.

Values from the calculation:
**Energy of formation**: 668 meV/atom
**Calculated total energy**: -4.27 eV/atom
**ρ**: 6.05 Mg/m³
**Symmetry**: P4/mmm

a = 4.985 Å, b = 4.985 Å, c = 9.080 Å
α = 90.00°, β = 90.00°, γ = 90.00°
Fractional coordinates of all 6 atoms:
Tb 0.997 0.501 0.793
Tb 0.997 0.501 0.210
Tb 0.497 0.001 0.210
Tb 0.497 0.001 0.793
Pr 0.997 0.001 0.502
Sc 0.497 0.501 0.002

Copy entry 2 word for word.
Density functional theory data (PBE) for a geometry-optimized Tb8PrSc2 structure.

Values from the calculation:
**Energy of formation**: 169 meV/atom
**Calculated total energy**: -4.78 eV/atom
**ρ**: 7.21 Mg/m³
**Symmetry**: C2/m

a = 5.807 Å, b = 8.885 Å, c = 9.129 Å
α = 60.88°, β = 74.72°, γ = 57.20°
Fractional coordinates of all 11 atoms:
Tb 0.825 0.098 0.242
Tb 0.825 0.340 0.758
Tb 0.292 0.428 0.000
Tb 0.500 0.791 0.417
Tb 0.500 0.209 0.583
Tb 0.708 0.572 0.000
Tb 0.175 0.660 0.242
Tb 0.175 0.902 0.758
Pr 0.500 0.000 0.000
Sc 0.000 0.309 0.381
Sc 0.000 0.691 0.619